Compound: Y2Fe
Source: the Alexandria database
Functional: PBEsol
Structure: optimized geometry

magnetization: 0.00 Bohr magnetons per cell
calculated volume: 23.8 Å³ per atom
formation enthalpy at 0 K: 0.18 eV per atom
total energy: -7.35 eV per atom

CIF file:
```
data_Y2Fe
_space_group_name_H-M_alt 'P 1'
_space_group_IT_number 1
_cell_length_a 3.426
_cell_length_b 6.422
_cell_length_c 6.499
_cell_angle_alpha 90.00
_cell_angle_beta 90.00
_cell_angle_gamma 90.00
loop_
_space_group_symop_operation_xyz
'x,y,z'
loop_
_atom_site_label
_atom_site_type_symbol
_atom_site_fract_x
_atom_site_fract_y
_atom_site_fract_z
_atom_site_occupancy
Y1 Y 0.500 0.730 0.175 1
Fe1 Fe 0.500 0.500 0.500 1
Y2 Y 0.000 0.230 0.325 1
Y3 Y 0.500 0.270 0.825 1
Y4 Y 0.000 0.770 0.675 1
Fe2 Fe 0.000 0.000 0.000 1
```